Entry 1:
LaTl2Pt | PBEsol | optimized geometry

Space group   Fm-3m (225)
D(E_F)   0.47 states/eV per atom
Calculated total energy   -19.046 eV per cell

Cell lengths 5.0629, 5.0629, 5.0629 Å; angles 60.00, 60.00, 60.00 degrees
With the nearest neighbours (Å) after each atom.
Sites, in units of the cell vectors:
La (0.0000, 0.0000, 0.0000)  8 Tl 3.10
Tl (0.2500, 0.2500, 0.2500)  4 La 3.10, 4 Pt 3.10
Tl (0.7500, 0.7500, 0.7500)  4 Pt 3.10, 4 La 3.10
Pt (0.5000, 0.5000, 0.5000)  8 Tl 3.10

Entry 2:
BaCuAs2P | PBEsol | optimized geometry

Space group   P4/mmm (123)
D(E_F)   0.97 states/eV per atom
Calculated total energy   -13.480 eV per cell

Cell lengths 5.5709, 5.5709, 5.1073 Å; angles 90.00, 90.00, 90.00 degrees
With the nearest neighbours (Å) after each atom.
Sites, in units of the cell vectors:
Ba (0.0000, 0.0000, 0.0000)  2 Cu 2.55, 4 As 2.79
Cu (0.0000, 0.0000, 0.5000)  2 Ba 2.55
As (0.0000, 0.5000, 0.0000)  2 Ba 2.79
As (0.5000, 0.0000, 0.0000)  2 Ba 2.79
P (0.5000, 0.5000, 0.5000)  8 As 3.78, 4 Cu 3.94

Question: The lowest D(E_F) belongs to which entry?
Answer: LaTl2Pt

Question: What is the D(E_F) in the second record?
Answer: 0.97 states/eV per atom

Question: D(E_F) of number 2 (BaCuAs2P)?
Answer: 0.97 states/eV per atom

Copy entry 2 word for word.
BaCuAs2P | PBEsol | optimized geometry

Space group   P4/mmm (123)
D(E_F)   0.97 states/eV per atom
Calculated total energy   -13.480 eV per cell

Cell lengths 5.5709, 5.5709, 5.1073 Å; angles 90.00, 90.00, 90.00 degrees
With the nearest neighbours (Å) after each atom.
Sites, in units of the cell vectors:
Ba (0.0000, 0.0000, 0.0000)  2 Cu 2.55, 4 As 2.79
Cu (0.0000, 0.0000, 0.5000)  2 Ba 2.55
As (0.0000, 0.5000, 0.0000)  2 Ba 2.79
As (0.5000, 0.0000, 0.0000)  2 Ba 2.79
P (0.5000, 0.5000, 0.5000)  8 As 3.78, 4 Cu 3.94